*P*
Entry from the Alexandria database: an optimized crystal structure of RbSrCa2 (GGA-PBE).

As for the size of the total moment: 0.000 μB/atom.

abc: 4.0855 4.0855 12.8304
angles: 90.00 90.00 90.00
Last column: nearest neighbours and their distance in Å.
Space group P4/mmm (No. 123)
One atom of each set of equivalent atoms:
Rb (0.0000, 0.0000, 0.0000) [1 per cell]  4 Rb 4.09, 8 Ca 4.56
Sr (0.0000, 0.0000, 0.5000) [1 per cell]  8 Ca 4.08, 4 Sr 4.09
Ca (0.5000, 0.5000, 0.2752) [2 per cell]  4 Sr 4.08, 4 Ca 4.09, 4 Rb 4.56

*Q*
Entry from the Alexandria database: an optimized crystal structure of RbSrCa2 (GGA-PBE).

As for the size of the total moment: 0.000 μB/atom.

abc: 6.9027 6.9027 4.4464
angles: 90.00 90.00 90.00
Last column: nearest neighbours and their distance in Å.
Space group P4/mmm (No. 123)
One atom of each set of equivalent atoms:
Rb (0.0000, 0.0000, 0.0000) [1 per cell]  8 Ca 4.11, 2 Rb 4.45
Sr (0.5000, 0.5000, 0.0000) [1 per cell]  8 Ca 4.11, 2 Sr 4.45
Ca (0.0000, 0.5000, 0.5000) [2 per cell]  4 Sr 4.11, 4 Rb 4.11, 2 Ca 4.45

The structure with the least stability is *Q*.

*P*
Entry from the Alexandria database: an optimized crystal structure of RbSr2Ca2 (GGA-PBE).

As for the size of the total moment: 0.000 μB/atom.

abc: 4.9190 4.9190 24.8638
angles: 90.00 90.00 90.00
Last column: nearest neighbours and their distance in Å.
Space group I4/mmm (No. 139)
One atom of each set of equivalent atoms:
Rb (0.0000, 0.0000, 0.0000) [2 per cell]  8 Sr 4.60, 4 Rb 4.92
Sr (0.0000, 0.0000, 0.3791) [4 per cell]  4 Ca 4.04
Ca (0.0000, 0.5000, 0.2500) [4 per cell]  4 Ca 3.48

*Q*
Entry from the Alexandria database: an optimized crystal structure of RbSr2Ca2 (GGA-PBE).

As for the size of the total moment: 0.000 μB/atom.

abc: 5.5632 5.5632 19.5902
angles: 90.00 90.00 90.00
Last column: nearest neighbours and their distance in Å.
Space group I4/mmm (No. 139)
One atom of each set of equivalent atoms:
Rb (0.0000, 0.0000, 0.0000) [2 per cell]  8 Ca 4.39
Sr (0.0000, 0.5000, 0.2500) [4 per cell]  4 Sr 3.93, 4 Ca 4.05
Ca (0.0000, 0.0000, 0.4002) [4 per cell]  1 Ca 3.91, 4 Sr 4.05

*R*
Entry from the Alexandria database: an optimized crystal structure of RbSr2Ca2 (GGA-PBE).

As for the size of the total moment: 0.000 μB/atom.

abc: 11.7130 11.7130 4.1639
angles: 90.00 90.00 90.00
Last column: nearest neighbours and their distance in Å.
Space group P4/mbm (No. 127)
One atom of each set of equivalent atoms:
Rb (0.0000, 0.0000, 0.0000) [2 per cell]  2 Rb 4.16, 4 Sr 4.66
Sr (0.1212, 0.3788, 0.0000) [4 per cell]  3 Sr 4.02-4.16, 6 Ca 4.03-4.04
Ca (0.1703, 0.6703, 0.5000) [4 per cell]  6 Sr 4.03-4.04, 2 Ca 4.16

The structure with the least stability is *Q*.

*P*
Entry from the Alexandria database: an optimized crystal structure of Rb3SrCa (GGA-PBE).

As for the size of the total moment: 0.000 μB/atom.

abc: 7.7509 7.7509 7.7509
angles: 90.00 90.00 90.00
Last column: nearest neighbours and their distance in Å.
Space group Pm-3m (No. 221)
One atom of each set of equivalent atoms:
Rb (0.0000, 0.0000, 0.5000) [3 per cell]  2 Ca 3.88
Sr (0.5000, 0.5000, 0.5000) [1 per cell]  12 Rb 5.48
Ca (0.0000, 0.0000, 0.0000) [1 per cell]  6 Rb 3.88

*Q*
Entry from the Alexandria database: an optimized crystal structure of Rb3SrCa (GGA-PBE).

As for the size of the total moment: 0.000 μB/atom.

abc: 7.9910 7.9910 7.9910
angles: 90.00 90.00 90.00
Last column: nearest neighbours and their distance in Å.
Space group Pm-3m (No. 221)
One atom of each set of equivalent atoms:
Rb (0.0000, 0.0000, 0.5000) [3 per cell]  2 Sr 4.00
Sr (0.0000, 0.0000, 0.0000) [1 per cell]  6 Rb 4.00
Ca (0.5000, 0.5000, 0.5000) [1 per cell]  12 Rb 5.65

The structure with the least stability is *Q*.

*P*
Entry from the Alexandria database: an optimized crystal structure of RbCa2Ta (GGA-PBE).

As for the size of the total moment: 0.989 μB/atom.

abc: 8.3084 8.3084 8.3084
angles: 90.00 90.00 90.00
Last column: nearest neighbours and their distance in Å.
Space group Fm-3m (No. 225)
One atom of each set of equivalent atoms:
Rb (0.0000, 0.0000, 0.0000) [4 per cell]  8 Ca 3.60
Ca (0.2500, 0.2500, 0.2500) [8 per cell]  4 Ta 3.60, 4 Rb 3.60
Ta (0.0000, 0.0000, 0.5000) [4 per cell]  8 Ca 3.60

*Q*
Entry from the Alexandria database: an optimized crystal structure of RbCa2Ta (GGA-PBE).

As for the size of the total moment: 1.036 μB/atom.

abc: 5.2945 5.2945 23.5563
angles: 90.00 90.00 90.00
Last column: nearest neighbours and their distance in Å.
Space group I-42d (No. 122)
One atom of each set of equivalent atoms:
Rb (0.0000, 0.0000, 0.0000) [4 per cell]  4 Ca 3.56, 4 Ta 3.74
Ca (0.2173, 0.2500, 0.6250) [8 per cell]  2 Ta 3.43, 2 Ca 3.51, 2 Rb 3.56
Ta (0.0000, 0.0000, 0.5000) [4 per cell]  4 Ca 3.43, 4 Rb 3.74

The structure with the least stability is *Q*.

*P*
Entry from the Alexandria database: an optimized crystal structure of RbCa3Ta (GGA-PBE).

As for the size of the total moment: 0.025 μB/atom.

abc: 5.9547 5.9547 5.9547
angles: 90.00 90.00 90.00
Last column: nearest neighbours and their distance in Å.
Space group Pm-3m (No. 221)
One atom of each set of equivalent atoms:
Rb (0.0000, 0.0000, 0.0000) [1 per cell]  12 Ca 4.21
Ca (0.0000, 0.5000, 0.5000) [3 per cell]  2 Ta 2.98
Ta (0.5000, 0.5000, 0.5000) [1 per cell]  6 Ca 2.98

*Q*
Entry from the Alexandria database: an optimized crystal structure of RbCa3Ta (GGA-PBE).

As for the size of the total moment: 0.000 μB/atom.

abc: 5.5001 5.5001 5.5001
angles: 90.00 90.00 90.00
Last column: nearest neighbours and their distance in Å.
Space group Pm-3m (No. 221)
One atom of each set of equivalent atoms:
Rb (0.0000, 0.0000, 0.0000) [1 per cell]  6 Ca 2.75
Ca (0.0000, 0.0000, 0.5000) [3 per cell]  2 Rb 2.75
Ta (0.5000, 0.5000, 0.5000) [1 per cell]  12 Ca 3.89

The structure with the least stability is *Q*.

*P*
Entry from the Alexandria database: an optimized crystal structure of RbCaTc3 (GGA-PBE).

As for the size of the total moment: 0.886 μB/atom.

abc: 4.8535 4.8535 4.8535
angles: 90.00 90.00 90.00
Last column: nearest neighbours and their distance in Å.
Space group Pm-3m (No. 221)
One atom of each set of equivalent atoms:
Rb (0.0000, 0.0000, 0.0000) [1 per cell]  6 Tc 2.43
Ca (0.5000, 0.5000, 0.5000) [1 per cell]  12 Tc 3.43
Tc (0.0000, 0.0000, 0.5000) [3 per cell]  2 Rb 2.43

*Q*
Entry from the Alexandria database: an optimized crystal structure of RbCaTc3 (GGA-PBE).

As for the size of the total moment: 1.838 μB/atom.

abc: 5.2845 5.2845 5.2845
angles: 90.00 90.00 90.00
Last column: nearest neighbours and their distance in Å.
Space group Pm-3m (No. 221)
One atom of each set of equivalent atoms:
Rb (0.0000, 0.0000, 0.0000) [1 per cell]  12 Tc 3.74
Ca (0.5000, 0.5000, 0.5000) [1 per cell]  6 Tc 2.64
Tc (0.0000, 0.5000, 0.5000) [3 per cell]  2 Ca 2.64

The structure with the least stability is *P*.

*P*
Entry from the Alexandria database: an optimized crystal structure of RbCa2Tc (GGA-PBE).

As for the size of the total moment: 0.450 μB/atom.

abc: 7.9439 7.9439 7.9439
angles: 90.00 90.00 90.00
Last column: nearest neighbours and their distance in Å.
Space group Fm-3m (No. 225)
One atom of each set of equivalent atoms:
Rb (0.0000, 0.0000, 0.0000) [4 per cell]  8 Ca 3.44
Ca (0.2500, 0.2500, 0.2500) [8 per cell]  4 Tc 3.44, 4 Rb 3.44
Tc (0.0000, 0.0000, 0.5000) [4 per cell]  8 Ca 3.44

*Q*
Entry from the Alexandria database: an optimized crystal structure of RbCa2Tc (GGA-PBE).

As for the size of the total moment: 0.000 μB/atom.

abc: 11.4238 11.4238 11.4238
angles: 90.00 90.00 90.00
Last column: nearest neighbours and their distance in Å.
Space group Fd-3m (No. 227, origin choice 2)
One atom of each set of equivalent atoms:
Rb (0.1250, 0.1250, 0.1250) [8 per cell]  12 Ca 4.74, 4 Tc 4.95, 4 Rb 4.95
Ca (0.0000, 0.0000, 0.5000) [16 per cell]  2 Tc 2.47
Tc (0.1250, 0.1250, 0.6250) [8 per cell]  4 Ca 2.47

The structure with the least stability is *Q*.

*P*
Entry from the Alexandria database: an optimized crystal structure of RbCa3Te (GGA-PBE).

As for the size of the total moment: 0.586 μB/atom.

abc: 6.1574 6.1574 6.1574
angles: 90.00 90.00 90.00
Last column: nearest neighbours and their distance in Å.
Space group Pm-3m (No. 221)
One atom of each set of equivalent atoms:
Rb (0.0000, 0.0000, 0.0000) [1 per cell]  6 Ca 3.08
Ca (0.0000, 0.0000, 0.5000) [3 per cell]  2 Rb 3.08
Te (0.5000, 0.5000, 0.5000) [1 per cell]  12 Ca 4.35

*Q*
Entry from the Alexandria database: an optimized crystal structure of RbCa3Te (GGA-PBE).

As for the size of the total moment: 0.183 μB/atom.

abc: 6.2539 6.2539 6.2539
angles: 90.00 90.00 90.00
Last column: nearest neighbours and their distance in Å.
Space group Pm-3m (No. 221)
One atom of each set of equivalent atoms:
Rb (0.0000, 0.0000, 0.0000) [1 per cell]  12 Ca 4.42
Ca (0.0000, 0.5000, 0.5000) [3 per cell]  2 Te 3.13
Te (0.5000, 0.5000, 0.5000) [1 per cell]  6 Ca 3.13

The structure with the least stability is *P*.

*P*
Entry from the Alexandria database: an optimized crystal structure of RbCa2Ti (GGA-PBE).

As for the size of the total moment: 0.990 μB/atom.

abc: 5.2936 5.2936 24.7623
angles: 90.00 90.00 90.00
Last column: nearest neighbours and their distance in Å.
Space group I-42d (No. 122)
One atom of each set of equivalent atoms:
Rb (0.0000, 0.0000, 0.0000) [4 per cell]  4 Ca 3.67, 4 Ti 3.74
Ca (0.2239, 0.2500, 0.6250) [8 per cell]  4 Ca 3.55-3.94, 2 Ti 3.57, 2 Rb 3.67
Ti (0.0000, 0.0000, 0.5000) [4 per cell]  4 Ca 3.57, 4 Rb 3.74

*Q*
Entry from the Alexandria database: an optimized crystal structure of RbCa2Ti (GGA-PBE).

As for the size of the total moment: 0.852 μB/atom.

abc: 8.5372 8.5372 8.5372
angles: 90.00 90.00 90.00
Last column: nearest neighbours and their distance in Å.
Space group Fm-3m (No. 225)
One atom of each set of equivalent atoms:
Rb (0.0000, 0.0000, 0.0000) [4 per cell]  8 Ca 3.70
Ca (0.2500, 0.2500, 0.2500) [8 per cell]  4 Rb 3.70, 4 Ti 3.70
Ti (0.0000, 0.0000, 0.5000) [4 per cell]  8 Ca 3.70

The structure with the least stability is *P*.

*P*
Entry from the Alexandria database: an optimized crystal structure of Rb2CaTi (GGA-PBE).

As for the size of the total moment: 0.925 μB/atom.

abc: 11.0028 11.0028 7.0420
angles: 90.00 90.00 90.00
Last column: nearest neighbours and their distance in Å.
Space group I-42d (No. 122)
One atom of each set of equivalent atoms:
Rb (0.2070, 0.2500, 0.1250) [8 per cell]  2 Rb 3.65, 2 Ti 3.68
Ca (0.0000, 0.0000, 0.5000) [4 per cell]  2 Ti 3.52
Ti (0.0000, 0.0000, 0.0000) [4 per cell]  2 Ca 3.52, 4 Rb 3.68

*Q*
Entry from the Alexandria database: an optimized crystal structure of Rb2CaTi (GGA-PBE).

As for the size of the total moment: 0.819 μB/atom.

abc: 9.2849 9.2849 9.2849
angles: 90.00 90.00 90.00
Last column: nearest neighbours and their distance in Å.
Space group Fm-3m (No. 225)
One atom of each set of equivalent atoms:
Rb (0.2500, 0.2500, 0.2500) [8 per cell]  4 Ca 4.02, 4 Ti 4.02
Ca (0.0000, 0.0000, 0.0000) [4 per cell]  8 Rb 4.02
Ti (0.0000, 0.0000, 0.5000) [4 per cell]  8 Rb 4.02

The structure with the least stability is *P*.

*P*
Entry from the Alexandria database: an optimized crystal structure of Rb2CaTl (GGA-PBE).

As for the size of the total moment: 0.278 μB/atom.

abc: 9.3810 9.3810 9.3810
angles: 90.00 90.00 90.00
Last column: nearest neighbours and their distance in Å.
Space group Fm-3m (No. 225)
One atom of each set of equivalent atoms:
Rb (0.2500, 0.2500, 0.2500) [8 per cell]  4 Tl 4.06, 4 Ca 4.06
Ca (0.0000, 0.0000, 0.0000) [4 per cell]  8 Rb 4.06
Tl (0.0000, 0.0000, 0.5000) [4 per cell]  8 Rb 4.06

*Q*
Entry from the Alexandria database: an optimized crystal structure of Rb2CaTl (GGA-PBE).

As for the size of the total moment: 0.000 μB/atom.

abc: 12.6163 12.6163 6.3438
angles: 90.00 90.00 90.00
Last column: nearest neighbours and their distance in Å.
Space group I-42d (No. 122)
One atom of each set of equivalent atoms:
Rb (0.1346, 0.2500, 0.1250) [8 per cell]  2 Tl 3.67
Ca (0.0000, 0.0000, 0.5000) [4 per cell]  2 Tl 3.17
Tl (0.0000, 0.0000, 0.0000) [4 per cell]  2 Ca 3.17

The structure with the least stability is *P*.

*P*
Entry from the Alexandria database: an optimized crystal structure of RbCaTl (GGA-PBE).

As for the size of the total moment: 0.000 μB/atom.

abc: 5.3282 5.3282 9.6563
angles: 90.00 90.00 90.00
Last column: nearest neighbours and their distance in Å.
Space group P4/nmm (No. 129, origin choice 2)
One atom of each set of equivalent atoms:
Rb (0.2500, 0.2500, 0.1320) [2 per cell]  5 Tl 4.07-4.08, 4 Ca 4.44, 4 Rb 4.55
Ca (0.2500, 0.7500, 0.5000) [2 per cell]  4 Tl 3.35
Tl (0.2500, 0.2500, 0.7098) [2 per cell]  4 Ca 3.35

*Q*
Entry from the Alexandria database: an optimized crystal structure of RbCaTl (GGA-PBE).

As for the size of the total moment: 0.000 μB/atom.

abc: 4.1644 4.1644 15.2146
angles: 90.00 90.00 90.00
Last column: nearest neighbours and their distance in Å.
Space group I4mm (No. 107)
One atom of each set of equivalent atoms:
Rb (0.0000, 0.0000, 0.0000) [2 per cell]  4 Tl 3.99, 1 Ca 4.10, 4 Rb 4.16
Ca (0.0000, 0.0000, 0.7305) [2 per cell]  4 Tl 3.26
Tl (0.0000, 0.0000, 0.3227) [2 per cell]  4 Ca 3.26

The structure with the least stability is *P*.

*P*
Entry from the Alexandria database: an optimized crystal structure of RbCaTl3 (GGA-PBE).

As for the size of the total moment: 0.000 μB/atom.

abc: 6.0927 6.0927 6.0927
angles: 90.00 90.00 90.00
Last column: nearest neighbours and their distance in Å.
Space group Pm-3m (No. 221)
One atom of each set of equivalent atoms:
Rb (0.0000, 0.0000, 0.0000) [1 per cell]  12 Tl 4.31
Ca (0.5000, 0.5000, 0.5000) [1 per cell]  6 Tl 3.05
Tl (0.0000, 0.5000, 0.5000) [3 per cell]  2 Ca 3.05

*Q*
Entry from the Alexandria database: an optimized crystal structure of RbCaTl3 (GGA-PBE).

As for the size of the total moment: 0.000 μB/atom.

abc: 6.2048 6.2048 6.2048
angles: 90.00 90.00 90.00
Last column: nearest neighbours and their distance in Å.
Space group Pm-3m (No. 221)
One atom of each set of equivalent atoms:
Rb (0.0000, 0.0000, 0.0000) [1 per cell]  6 Tl 3.10
Ca (0.5000, 0.5000, 0.5000) [1 per cell]  12 Tl 4.39
Tl (0.0000, 0.0000, 0.5000) [3 per cell]  2 Rb 3.10

The structure with the least stability is *Q*.